# Pm8Zn2Au

Crystalline Pm8Zn2Au at its relaxed geometry (GGA-PBE, Alexandria via LeMat-Bulk).

DFT formation energy: -0.218 eV per atom
Electronic total energy: -4.2021 eV per atom
Volume: 29.3 A^3/atom
Space-group type: C2/m

a b c (Å): 5.2025 6.9165 9.5209
angles (deg): 101.90 105.86 90.00
Fractional positions:
Pm  0.0279  0.7675  0.0557
Zn  0.1916  0.7389  0.3832
Au  0.5000  0.0000  0.0000
Pm  0.3373  0.0366  0.6745
Pm  0.7993  0.6813  0.5985
Zn  0.8084  0.2611  0.6168
Pm  0.4087  0.5469  0.8174
Pm  0.6627  0.9634  0.3255
Pm  0.9721  0.2325  0.9443
Pm  0.2007  0.3187  0.4015
Pm  0.5913  0.4531  0.1826

# Pm3ZnAu3

Crystalline Pm3ZnAu3 at its relaxed geometry (GGA-PBE, Alexandria via LeMat-Bulk).

DFT formation energy: -0.708 eV per atom
Electronic total energy: -4.3309 eV per atom
Distance to the lowest polymorph of the same formula: 0.0 kJ per mole of atoms
Volume: 24.5 A^3/atom
Space-group type: C2/m

a b c (Å): 4.1807 5.8423 15.1770
angles (deg): 84.66 82.08 69.04
Fractional positions:
Zn  0.2301  0.9256  0.6141
Pm  0.5241  0.3397  0.6122
Au  0.9800  0.8064  0.2337
Au  0.1416  0.2587  0.4582
Au  0.0200  0.1936  0.7663
Pm  0.7379  0.7555  0.7686
Pm  0.3970  0.2842  0.9218
Au  0.8804  0.1620  0.0772
Pm  0.4759  0.6603  0.3878
Zn  0.7699  0.0744  0.3859
Pm  0.2621  0.2445  0.2314
Au  0.1196  0.8380  0.9228
Au  0.8584  0.7413  0.5418
Pm  0.6030  0.7158  0.0782

# PmZn3Au2

Crystalline PmZn3Au2 at its relaxed geometry (GGA-PBE, Alexandria via LeMat-Bulk).

DFT formation energy: -0.438 eV per atom
Electronic total energy: -2.9589 eV per atom
Distance to the lowest polymorph of the same formula: 0.0 kJ per mole of atoms
Volume: 19.6 A^3/atom
Space-group type: P6/mmm

a b c (Å): 4.2363 9.7975 9.7975
angles (deg): 120.00 90.00 90.00
Fractional positions:
Pm  0.5000  0.0000  0.0000
Zn  0.0000  0.0000  0.7097
Pm  0.0000  0.6667  0.3333
Zn  0.5000  0.5000  0.0000
Au  0.5000  0.6131  0.8065
Au  0.5000  0.8065  0.1935
Zn  0.5000  0.5000  0.5000
Zn  0.0000  0.7097  0.0000
Au  0.5000  0.3869  0.1935
Au  0.5000  0.1935  0.3869
Zn  0.0000  0.7097  0.7097
Zn  0.5000  0.0000  0.5000
Zn  0.0000  0.2903  0.0000
Zn  0.0000  0.2903  0.2903
Au  0.5000  0.1935  0.8065
Pm  0.0000  0.3333  0.6667
Zn  0.0000  0.0000  0.2903
Au  0.5000  0.8065  0.6131

# Pm2ZnAu6

Crystalline Pm2ZnAu6 at its relaxed geometry (GGA-PBE, Alexandria via LeMat-Bulk).

DFT formation energy: -0.590 eV per atom
Electronic total energy: -3.9717 eV per atom
Volume: 21.2 A^3/atom
Space-group type: C2/m

a b c (Å): 5.5230 6.3234 6.3234
angles (deg): 59.91 89.96 89.96
Fractional positions:
Pm  0.1760  0.3335  0.3335
Au  0.6923  0.1809  0.1809
Zn  0.0000  0.0000  0.0000
Au  0.6917  0.6388  0.1804
Au  0.3083  0.8196  0.3612
Au  0.6917  0.1804  0.6388
Au  0.3083  0.3612  0.8196
Pm  0.8240  0.6665  0.6665
Au  0.3077  0.8191  0.8191

# PmZn2Au

Crystalline PmZn2Au at its relaxed geometry (GGA-PBE, Alexandria via LeMat-Bulk).

DFT formation energy: -0.492 eV per atom
Electronic total energy: -3.1361 eV per atom
Distance to the lowest polymorph of the same formula: 0.0 kJ per mole of atoms
Volume: 20.9 A^3/atom
Space-group type: Cmcm

a b c (Å): 4.3231 9.4854 8.4236
angles (deg): 90.00 104.87 90.00
Fractional positions:
Zn  0.3086  0.1133  0.6172
Au  0.8556  0.5232  0.7113
Zn  0.1040  0.7500  0.2081
Pm  0.5000  0.5000  0.0000
Pm  0.6940  0.2500  0.3881
Pm  0.3060  0.7500  0.6119
Zn  0.3086  0.3867  0.6172
Pm  0.5000  0.0000  0.0000
Zn  0.0494  0.2500  0.0989
Zn  0.6914  0.6133  0.3828
Au  0.1444  0.0232  0.2887
Zn  0.9506  0.7500  0.9011
Au  0.8556  0.9768  0.7113
Au  0.1444  0.4768  0.2887
Zn  0.6914  0.8867  0.3828
Zn  0.8960  0.2500  0.7919

# PmZnAu6

Crystalline PmZnAu6 at its relaxed geometry (GGA-PBE, Alexandria via LeMat-Bulk).

DFT formation energy: -0.313 eV per atom
Electronic total energy: -3.5236 eV per atom
Volume: 20.8 A^3/atom
Space-group type: P4/mmm

a b c (Å): 4.0196 4.0196 10.3070
angles (deg): 90.00 90.00 90.00
Fractional positions:
Au  0.5000  0.5000  0.1308
Zn  0.0000  0.0000  0.5000
Au  0.5000  0.5000  0.8692
Au  0.5000  0.0000  0.6725
Au  0.5000  0.0000  0.3275
Au  0.0000  0.5000  0.3275
Au  0.0000  0.5000  0.6725
Pm  0.0000  0.0000  0.0000

# PmZn4Au12

Crystalline PmZn4Au12 at its relaxed geometry (GGA-PBE, Alexandria via LeMat-Bulk).

DFT formation energy: -0.018 eV per atom
Electronic total energy: -2.9105 eV per atom
Volume: 21.0 A^3/atom
Space-group type: Im-3

a b c (Å): 7.7368 7.7368 7.7368
angles (deg): 109.47 109.47 109.47
Fractional positions:
Au  0.8111  0.1542  0.6569
Zn  0.5000  0.5000  0.5000
Au  0.1542  0.3431  0.4974
Zn  0.0000  0.5000  0.0000
Au  0.6569  0.8111  0.1542
Au  0.4974  0.1542  0.3431
Zn  0.0000  0.0000  0.5000
Au  0.1889  0.8458  0.3431
Pm  0.0000  0.0000  0.0000
Au  0.3431  0.1889  0.8458
Au  0.1542  0.6569  0.8111
Au  0.6569  0.5026  0.8458
Au  0.5026  0.8458  0.6569
Au  0.8458  0.3431  0.1889
Au  0.3431  0.4974  0.1542
Au  0.8458  0.6569  0.5026
Zn  0.5000  0.0000  0.0000

# PmZn2Au3

Crystalline PmZn2Au3 at its relaxed geometry (GGA-PBE, Alexandria via LeMat-Bulk).

DFT formation energy: -0.506 eV per atom
Electronic total energy: -3.3612 eV per atom
Volume: 19.7 A^3/atom
Space-group type: P6_3/mmc

a b c (Å): 4.5592 4.5592 13.1242
angles (deg): 90.00 90.00 120.00
Fractional positions:
Zn  0.3333  0.6667  0.5850
Pm  0.0000  0.0000  0.7500
Au  0.6667  0.3333  0.6262
Zn  0.6667  0.3333  0.0850
Au  0.3333  0.6667  0.3738
Zn  0.6667  0.3333  0.4150
Au  0.0000  0.0000  0.5000
Au  0.0000  0.0000  0.0000
Pm  0.0000  0.0000  0.2500
Zn  0.3333  0.6667  0.9150
Au  0.3333  0.6667  0.1262
Au  0.6667  0.3333  0.8738

# PmZn2Au

Crystalline PmZn2Au at its relaxed geometry (GGA-PBE, Alexandria via LeMat-Bulk).

DFT formation energy: -0.449 eV per atom
Electronic total energy: -3.0934 eV per atom
Distance to the lowest polymorph of the same formula: 4.1 kJ per mole of atoms
Volume: 19.3 A^3/atom
Space-group type: Fm-3m

a b c (Å): 4.7796 4.7796 4.7796
angles (deg): 60.00 60.00 60.00
Fractional positions:
Zn  0.7500  0.7500  0.7500
Zn  0.2500  0.2500  0.2500
Pm  0.0000  0.0000  0.0000
Au  0.5000  0.5000  0.5000

# PmZn10Au2

Crystalline PmZn10Au2 at its relaxed geometry (GGA-PBE, Alexandria via LeMat-Bulk).

DFT formation energy: -0.216 eV per atom
Electronic total energy: -2.0658 eV per atom
Volume: 16.9 A^3/atom
Space-group type: Fmmm

a b c (Å): 5.4494 6.9341 6.8871
angles (deg): 81.06 66.70 66.86
Fractional positions:
Zn  0.3556  0.6407  0.6482
Au  0.5000  0.0000  0.5000
Zn  0.2828  0.2230  0.2113
Zn  0.0038  0.6407  0.3518
Zn  0.0000  0.5000  0.0000
Zn  0.5058  0.7770  0.2113
Zn  0.9962  0.3593  0.6482
Zn  0.7172  0.7770  0.7887
Zn  0.5000  0.5000  0.0000
Au  0.0000  0.0000  0.5000
Pm  0.0000  0.0000  0.0000
Zn  0.4942  0.2230  0.7887
Zn  0.6444  0.3593  0.3518

# PmZnAu5

Crystalline PmZnAu5 at its relaxed geometry (GGA-PBE, Alexandria via LeMat-Bulk).

DFT formation energy: -0.342 eV per atom
Electronic total energy: -3.5432 eV per atom
Volume: 20.7 A^3/atom
Space-group type: P4/mmm

a b c (Å): 4.4606 4.4606 7.2662
angles (deg): 90.00 90.00 90.00
Fractional positions:
Au  0.5000  0.5000  0.0000
Au  0.0000  0.5000  0.7041
Pm  0.0000  0.0000  0.0000
Au  0.5000  0.0000  0.7041
Au  0.5000  0.0000  0.2959
Au  0.0000  0.5000  0.2959
Zn  0.0000  0.0000  0.5000

# Pm2Zn4Au5

Crystalline Pm2Zn4Au5 at its relaxed geometry (GGA-PBE, Alexandria via LeMat-Bulk).

DFT formation energy: -0.420 eV per atom
Electronic total energy: -3.2369 eV per atom
Volume: 20.6 A^3/atom
Space-group type: Fmmm

a b c (Å): 5.8861 5.5476 8.6948
angles (deg): 79.66 70.22 57.96
Fractional positions:
Au  0.0000  0.5000  0.0000
Zn  0.7809  0.7025  0.7357
Zn  0.4834  0.2975  0.7357
Zn  0.5166  0.7025  0.2643
Au  0.5000  0.0000  0.0000
Au  0.2500  0.5000  0.5000
Pm  0.8665  0.0000  0.2670
Au  0.7500  0.5000  0.5000
Zn  0.2191  0.2975  0.2643
Au  0.5000  0.5000  0.0000
Pm  0.1335  0.0000  0.7330

# Pm2Zn3Au4

Crystalline Pm2Zn3Au4 at its relaxed geometry (GGA-PBE, Alexandria via LeMat-Bulk).

DFT formation energy: -0.564 eV per atom
Electronic total energy: -3.5009 eV per atom
Volume: 20.3 A^3/atom
Space-group type: Cmce

a b c (Å): 5.8621 8.0185 8.3184
angles (deg): 90.00 110.63 90.00
Fractional positions:
Au  0.7009  0.7500  0.9017
Zn  0.5000  0.5000  0.0000
Au  0.3159  0.4694  0.6318
Pm  0.6159  0.9152  0.2317
Au  0.1841  0.9694  0.3682
Zn  0.0000  0.0000  0.0000
Zn  0.4716  0.2500  0.4433
Au  0.8159  0.0306  0.6318
Au  0.2991  0.2500  0.0983
Zn  0.0284  0.7500  0.5567
Zn  0.9716  0.2500  0.4433
Pm  0.1159  0.5848  0.2317
Zn  0.5284  0.7500  0.5567
Au  0.2009  0.7500  0.9017
Pm  0.8841  0.4152  0.7683
Au  0.7991  0.2500  0.0983
Pm  0.3841  0.0848  0.7683
Au  0.6841  0.5306  0.3682

# Pm2Zn12Au5

Crystalline Pm2Zn12Au5 at its relaxed geometry (GGA-PBE, Alexandria via LeMat-Bulk).

DFT formation energy: -0.296 eV per atom
Electronic total energy: -2.4632 eV per atom
Volume: 17.7 A^3/atom
Space-group type: R-3m

a b c (Å): 7.0002 7.0002 7.0002
angles (deg): 83.02 83.02 83.02
Fractional positions:
Zn  0.6470  0.6470  0.1681
Zn  0.1681  0.6470  0.6470
Zn  0.7016  0.2984  0.0000
Pm  0.3364  0.3364  0.3364
Zn  0.2984  0.7016  0.0000
Zn  0.0000  0.7016  0.2984
Au  0.0000  0.0000  0.5000
Zn  0.2984  0.0000  0.7016
Au  0.8957  0.8957  0.8957
Zn  0.3530  0.8319  0.3530
Au  0.0000  0.5000  0.0000
Zn  0.7016  0.0000  0.2984
Au  0.1043  0.1043  0.1043
Zn  0.3530  0.3530  0.8319
Zn  0.0000  0.2984  0.7016
Pm  0.6636  0.6636  0.6636
Zn  0.8319  0.3530  0.3530
Au  0.5000  0.0000  0.0000
Zn  0.6470  0.1681  0.6470

# Pm2ZnAu3

Crystalline Pm2ZnAu3 at its relaxed geometry (GGA-PBE, Alexandria via LeMat-Bulk).

DFT formation energy: -0.722 eV per atom
Electronic total energy: -4.1563 eV per atom
Volume: 22.7 A^3/atom
Space-group type: Fmmm

a b c (Å): 5.9244 5.9244 8.8162
angles (deg): 104.45 104.45 104.93
Fractional positions:
Au  0.6525  0.1742  0.8267
Au  0.3475  0.8258  0.1733
Pm  0.2500  0.7500  0.5000
Zn  0.3328  0.3328  0.6656
Au  0.8287  0.8287  0.6575
Au  0.8258  0.3475  0.1733
Pm  0.2458  0.2458  0.0000
Pm  0.7542  0.7542  0.0000
Au  0.1713  0.1713  0.3425
Zn  0.6672  0.6672  0.3344
Pm  0.7500  0.2500  0.5000
Au  0.1742  0.6525  0.8267

# Pm2Zn5Au4

Crystalline Pm2Zn5Au4 at its relaxed geometry (GGA-PBE, Alexandria via LeMat-Bulk).

DFT formation energy: -0.497 eV per atom
Electronic total energy: -3.1319 eV per atom
Volume: 20.0 A^3/atom
Space-group type: Fmmm

a b c (Å): 5.4787 5.3912 9.0665
angles (deg): 81.17 72.41 59.46
Fractional positions:
Zn  0.5000  0.0000  0.0000
Zn  0.5000  0.5000  0.0000
Au  0.4709  0.3187  0.7396
Zn  0.2500  0.5000  0.5000
Zn  0.7500  0.5000  0.5000
Au  0.2104  0.3187  0.2604
Pm  0.1280  0.0000  0.7441
Au  0.5291  0.6813  0.2604
Au  0.7896  0.6813  0.7396
Pm  0.8720  0.0000  0.2559
Zn  0.0000  0.5000  0.0000

# PmZn3Au3

Crystalline PmZn3Au3 at its relaxed geometry (GGA-PBE, Alexandria via LeMat-Bulk).

DFT formation energy: 0.565 eV per atom
Electronic total energy: -2.0647 eV per atom
Distance to the lowest polymorph of the same formula: 90.3 kJ per mole of atoms
Volume: 31.8 A^3/atom
Space-group type: Fm-3m

a b c (Å): 8.5751 8.5751 8.5751
angles (deg): 60.00 60.00 60.00
Fractional positions:
Pm  0.7500  0.7500  0.7500
Au  0.3387  0.3387  0.6613
Au  0.6613  0.3387  0.6613
Zn  0.8538  0.1462  0.1462
Au  0.6613  0.6613  0.3387
Pm  0.2500  0.2500  0.2500
Zn  0.8538  0.1462  0.8538
Au  0.3387  0.6613  0.3387
Zn  0.1462  0.1462  0.8538
Au  0.3387  0.6613  0.6613
Zn  0.1462  0.8538  0.8538
Au  0.6613  0.3387  0.3387
Zn  0.1462  0.8538  0.1462
Zn  0.8538  0.8538  0.1462

# Pm4Zn3Au

Crystalline Pm4Zn3Au at its relaxed geometry (GGA-PBE, Alexandria via LeMat-Bulk).

DFT formation energy: -0.437 eV per atom
Electronic total energy: -3.6992 eV per atom
Distance to the lowest polymorph of the same formula: 0.0 kJ per mole of atoms
Volume: 24.7 A^3/atom
Space-group type: P4/mmm

a b c (Å): 3.6896 3.6896 14.4871
angles (deg): 90.00 90.00 90.00
Fractional positions:
Zn  0.5000  0.5000  0.7453
Au  0.5000  0.5000  0.0000
Zn  0.5000  0.5000  0.2547
Pm  0.0000  0.0000  0.3749
Pm  0.0000  0.0000  0.6251
Pm  0.0000  0.0000  0.8730
Pm  0.0000  0.0000  0.1270
Zn  0.5000  0.5000  0.5000

# Pm2Zn2Au3

Crystalline Pm2Zn2Au3 at its relaxed geometry (GGA-PBE, Alexandria via LeMat-Bulk).

DFT formation energy: -0.630 eV per atom
Electronic total energy: -3.7562 eV per atom
Distance to the lowest polymorph of the same formula: 0.0 kJ per mole of atoms
Volume: 22.0 A^3/atom
Space-group type: Cmcm

a b c (Å): 4.1624 7.5348 10.0495
angles (deg): 90.00 101.95 90.00
Fractional positions:
Zn  0.3081  0.4430  0.6162
Pm  0.8441  0.7500  0.6883
Zn  0.6919  0.5570  0.3838
Au  0.4347  0.5599  0.8694
Pm  0.0579  0.7500  0.1157
Au  0.7737  0.2500  0.5474
Au  0.4347  0.9401  0.8694
Zn  0.3081  0.0570  0.6162
Zn  0.6919  0.9430  0.3838
Pm  0.9421  0.2500  0.8843
Au  0.5653  0.0599  0.1306
Au  0.5653  0.4401  0.1306
Au  0.2263  0.7500  0.4526
Pm  0.1559  0.2500  0.3117

# Pm3Zn6Au2

Crystalline Pm3Zn6Au2 at its relaxed geometry (GGA-PBE, Alexandria via LeMat-Bulk).

DFT formation energy: -0.273 eV per atom
Electronic total energy: -2.8594 eV per atom
Volume: 22.4 A^3/atom
Space-group type: I4/mmm

a b c (Å): 3.9640 3.9640 15.9361
angles (deg): 97.14 97.14 90.00
Fractional positions:
Zn  0.7280  0.7280  0.4560
Zn  0.2720  0.2720  0.5440
Au  0.6396  0.6396  0.2792
Zn  0.4218  0.9218  0.8437
Zn  0.0782  0.5782  0.1563
Pm  0.1757  0.1757  0.3514
Pm  0.8243  0.8243  0.6486
Zn  0.9218  0.4218  0.8437
Zn  0.5782  0.0782  0.1563
Pm  0.0000  0.0000  0.0000
Au  0.3604  0.3604  0.7208